The following is a PBE calculation of a relaxed structure of Zr2Au, from the Alexandria database.

Lattice parameters (Å, degrees): 4.3040 4.3040 26.8070 90.00 90.00 90.00
Last column: nearest neighbours and their distance in Å.
Space group I4_1/amd (No. 141, origin choice 2)
Unique sites:
Zr  0.0000  0.2500  0.1217 [8 per cell]  8 Zr 3.05-3.24, 4 Au 3.05-3.18
Zr  0.0000  0.2500  0.7879 [8 per cell]  6 Zr 2.96-3.24, 6 Au 3.02-3.04
Au  0.0000  0.2500  0.2909 [8 per cell]  10 Zr 3.02-3.18, 2 Au 3.07

Energy relative to the elements, meV per atom: -298
VASP energy, eV/atom: -7.090
Volume, Å³/atom: 20.69

The following is a PBE calculation of a relaxed structure of Zr4Au3, from the Alexandria database.

Lattice parameters (Å, degrees): 5.5136 5.5136 5.4190 90.00 90.00 120.00
Last column: nearest neighbours and their distance in Å.
Space group P6/mmm (No. 191)
Unique sites:
Zr  0.0000  0.0000  0.2412 [2 per cell]  2 Zr 2.61-2.80
Zr  0.3333  0.6667  0.0000 [2 per cell]  6 Au 3.14, 9 Zr 3.18-3.44
Au  0.0000  0.5000  0.5000 [3 per cell]  4 Au 2.76

Energy relative to the elements, meV per atom: -334
VASP energy, eV/atom: -6.623
Volume, Å³/atom: 20.38

The following is a PBE calculation of a relaxed structure of ZrAu3, from the Alexandria database.

Lattice parameters (Å, degrees): 2.9617 4.9247 5.1882 90.00 90.00 90.00
Last column: nearest neighbours and their distance in Å.
Space group Pmm2 (No. 25)
Unique sites:
Zr  0.0000  0.0000  0.0000 [1 per cell]  10 Au 2.96-3.02, 2 Zr 2.96
Au  0.0000  0.5000  0.6833 [1 per cell]  2 Zr 2.96, 10 Au 2.96-3.03
Au  0.5000  0.0000  0.4983 [1 per cell]  8 Au 2.96-3.03, 4 Zr 2.98-2.99
Au  0.5000  0.5000  0.1815 [1 per cell]  8 Au 2.96-2.99, 4 Zr 3.02

Energy relative to the elements, meV per atom: -262
VASP energy, eV/atom: -4.858
Volume, Å³/atom: 18.92

The following is a PBE calculation of a relaxed structure of Zr5Au4, from the Alexandria database.

Lattice parameters (Å, degrees): 9.1330 9.1330 4.3402 90.00 90.00 90.00
Last column: nearest neighbours and their distance in Å.
Space group I4/mmm (No. 139)
Unique sites:
Zr  0.0000  0.0000  0.0000 [2 per cell]  4 Au 3.03, 8 Zr 3.10
Zr  0.1713  0.1713  0.5000 [8 per cell]  6 Zr 2.97-3.13, 6 Au 3.00-3.05
Au  0.0000  0.3320  0.0000 [8 per cell]  7 Zr 3.00-3.05, 5 Au 3.07

Energy relative to the elements, meV per atom: -316
VASP energy, eV/atom: -6.521
Polymorph energy (0 for the lowest one), eV/atom: 0.107
Volume, Å³/atom: 20.11

Which of these has the highest energy relative to the elements? ZrAu3